# 1
A plane-wave DFT calculation with PBE was carried out for crystalline Hf2ScHg at its relaxed geometry.

```
data_Hf2ScHg
_chemical_formula_sum 'Hf8 Sc4 Hg4'
_space_group_name_H-M_alt 'I -4 2 d'
_space_group_IT_number 122
_space_group_name_Hall 'I -4 2bw'
_cell_length_a 8.066
_cell_length_b 8.066
_cell_length_c 5.807
_cell_angle_alpha 90.00
_cell_angle_beta 90.00
_cell_angle_gamma 90.00
loop_
_atom_site_label
_atom_site_fract_x
_atom_site_fract_y
_atom_site_fract_z
Hf1 0.226 0.250 0.125
Sc1 0.000 0.000 0.500
Hg1 0.000 0.000 0.000
```

Output
E_tot   -100.07 eV per cell

---

# 2
A plane-wave DFT calculation with PBE was carried out for crystalline Tb2PrGa4 at its relaxed geometry.

```
data_Tb2PrGa4
_chemical_formula_sum 'Tb4 Pr2 Ga8'
_space_group_name_H-M_alt 'I m m m'
_space_group_IT_number 71
_space_group_name_Hall '-I 2 2'
_cell_length_a 4.183
_cell_length_b 4.355
_cell_length_c 18.394
_cell_angle_alpha 90.00
_cell_angle_beta 90.00
_cell_angle_gamma 90.00
loop_
_atom_site_label
_atom_site_fract_x
_atom_site_fract_y
_atom_site_fract_z
Tb1 0.000 0.000 0.185
Pr1 0.000 0.500 0.500
Ga1 0.000 0.000 0.352
Ga2 0.000 0.500 0.068
```

Output
E_tot   -61.45 eV per cell

---

# 3
A plane-wave DFT calculation with PBE was carried out for crystalline BaSrCeHfO6 at its relaxed geometry.

```
data_BaSrCeHfO6
_chemical_formula_sum 'Ba4 Sr4 Ce4 Hf4 O24'
_space_group_name_H-M_alt 'F -4 3 m'
_space_group_IT_number 216
_space_group_name_Hall 'F -4 2 3'
_cell_length_a 8.626
_cell_length_b 8.626
_cell_length_c 8.626
_cell_angle_alpha 90.00
_cell_angle_beta 90.00
_cell_angle_gamma 90.00
loop_
_atom_site_label
_atom_site_fract_x
_atom_site_fract_y
_atom_site_fract_z
Ba1 0.000 0.000 0.000
Sr1 0.000 0.000 0.500
Ce1 0.250 0.250 0.750
Hf1 0.250 0.250 0.250
O1 0.009 0.250 0.250
```

Output
E_tot   -325.52 eV per cell
Formation energy without anion corrections   -3.214 eV per atom
Relative energy among the computed polymorphs   39 kJ/mol of formula units

---

# 4
A plane-wave DFT calculation with PBE was carried out for crystalline AcPuSe at its relaxed geometry.

```
data_AcPuSe
_chemical_formula_sum 'Ac4 Pu4 Se4'
_space_group_name_H-M_alt 'C 1 2/m 1'
_space_group_IT_number 12
_space_group_name_Hall '-C 2y'
_cell_length_a 7.253
_cell_length_b 7.310
_cell_length_c 7.264
_cell_angle_alpha 90.00
_cell_angle_beta 99.21
_cell_angle_gamma 90.00
loop_
_atom_site_label
_atom_site_fract_x
_atom_site_fract_y
_atom_site_fract_z
Ac1 0.000 0.248 0.000
Pu1 0.000 0.281 0.500
Se1 0.235 0.000 0.705
```

Output
E_tot   -95.00 eV per cell
Formation energy without anion corrections   -0.608 eV per atom
Relative energy among the computed polymorphs   33 kJ/mol of formula units

---

# 5
A plane-wave DFT calculation with PBE was carried out for crystalline AcAlIn at its relaxed geometry.

```
data_AcAlIn
_chemical_formula_sum 'Ac4 Al4 In4'
_space_group_name_H-M_alt 'C 1 2/m 1'
_space_group_IT_number 12
_space_group_name_Hall '-C 2y'
_cell_length_a 17.066
_cell_length_b 4.871
_cell_length_c 4.452
_cell_angle_alpha 90.00
_cell_angle_beta 105.11
_cell_angle_gamma 90.00
loop_
_atom_site_label
_atom_site_fract_x
_atom_site_fract_y
_atom_site_fract_z
Ac1 0.114 0.000 0.363
Al1 0.039 0.500 0.789
In1 0.204 0.500 0.952
```

Output
E_tot   -47.55 eV per cell
Relative energy among the computed polymorphs   0 kJ/mol of formula units

---

# 6
A plane-wave DFT calculation with PBE was carried out for crystalline Tb12Tl6H at its relaxed geometry.

```
data_Tb12Tl6H
_chemical_formula_sum 'Tb36 Tl18 H3'
_space_group_name_H-M_alt 'R -3'
_space_group_IT_number 148
_space_group_name_Hall '-R 3'
_cell_length_a 12.1029
_cell_length_b 12.1029
_cell_length_c 13.0742
_cell_angle_alpha 90.00
_cell_angle_beta 90.00
_cell_angle_gamma 120.00
loop_
_atom_site_label
_atom_site_fract_x
_atom_site_fract_y
_atom_site_fract_z
Tb1 0.0357 0.8510 0.3830
Tb2 0.0389 0.1853 0.8840
Tl1 0.0018 0.6060 0.2514
H1 0.0000 0.0000 0.5000
```

Output
E_tot   -229.12 eV per cell

---

# 7
A plane-wave DFT calculation with PBE was carried out for crystalline NiOs3Pb at its relaxed geometry.

```
data_NiOs3Pb
_chemical_formula_sum 'Ni1 Os3 Pb1'
_space_group_name_H-M_alt 'P m -3 m'
_space_group_IT_number 221
_space_group_name_Hall '-P 4 2 3'
_cell_length_a 4.962
_cell_length_b 4.962
_cell_length_c 4.962
_cell_angle_alpha 90.00
_cell_angle_beta 90.00
_cell_angle_gamma 90.00
loop_
_atom_site_label
_atom_site_fract_x
_atom_site_fract_y
_atom_site_fract_z
Ni1 0.000 0.000 0.000
Os1 0.000 0.500 0.500
Pb1 0.500 0.500 0.500
```

Output
E_tot   -26.00 eV per cell
Relative energy among the computed polymorphs   780 kJ/mol of formula units

---

# 8
A plane-wave DFT calculation with PBE was carried out for crystalline KNaAsBr2 at its relaxed geometry.

```
data_KNaAsBr2
_chemical_formula_sum 'K1 Na1 As1 Br2'
_space_group_name_H-M_alt 'P 4/m m m'
_space_group_IT_number 123
_space_group_name_Hall '-P 4 2'
_cell_length_a 5.721
_cell_length_b 5.721
_cell_length_c 5.644
_cell_angle_alpha 90.00
_cell_angle_beta 90.00
_cell_angle_gamma 90.00
loop_
_atom_site_label
_atom_site_fract_x
_atom_site_fract_y
_atom_site_fract_z
K1 0.000 0.000 0.000
Na1 0.500 0.500 0.500
As1 0.500 0.500 0.000
Br1 0.000 0.500 0.500
```

Output
E_tot   -13.19 eV per cell
Formation energy without anion corrections   -0.555 eV per atom
Relative energy among the computed polymorphs   0 kJ/mol of formula units

---

# 9
A plane-wave DFT calculation with PBE was carried out for crystalline Ca2B2PdPt5 at its relaxed geometry.

```
data_Ca2B2PdPt5
_chemical_formula_sum 'Ca4 B4 Pd2 Pt10'
_space_group_name_H-M_alt 'P 4/m b m'
_space_group_IT_number 127
_space_group_name_Hall '-P 4 2ab'
_cell_length_a 9.663
_cell_length_b 9.663
_cell_length_c 3.281
_cell_angle_alpha 90.00
_cell_angle_beta 90.00
_cell_angle_gamma 90.00
loop_
_atom_site_label
_atom_site_fract_x
_atom_site_fract_y
_atom_site_fract_z
Ca1 0.178 0.322 0.000
B1 0.123 0.623 0.000
Pd1 0.000 0.000 0.000
Pt1 0.000 0.500 0.500
Pt2 0.069 0.777 0.500
```

Output
E_tot   -117.27 eV per cell

---

# 10
A plane-wave DFT calculation with PBE was carried out for crystalline In4MoW at its relaxed geometry.

```
data_In4MoW
_chemical_formula_sum 'In16 Mo4 W4'
_space_group_name_H-M_alt 'F -4 3 m'
_space_group_IT_number 216
_space_group_name_Hall 'F -4 2 3'
_cell_length_a 7.900
_cell_length_b 7.900
_cell_length_c 7.900
_cell_angle_alpha 90.00
_cell_angle_beta 90.00
_cell_angle_gamma 90.00
loop_
_atom_site_label
_atom_site_fract_x
_atom_site_fract_y
_atom_site_fract_z
In1 0.125 0.125 0.125
Mo1 0.250 0.250 0.750
W1 0.000 0.000 0.500
```

Output
E_tot   -111.66 eV per cell

---

# 11
A plane-wave DFT calculation with PBE was carried out for crystalline P2OsRu at its relaxed geometry.

```
data_P2OsRu
_chemical_formula_sum 'P6 Os3 Ru3'
_space_group_name_H-M_alt 'R -3 m'
_space_group_IT_number 166
_space_group_name_Hall '-R 3 2"'
_cell_length_a 2.9136
_cell_length_b 2.9136
_cell_length_c 21.7340
_cell_angle_alpha 90.00
_cell_angle_beta 90.00
_cell_angle_gamma 120.00
loop_
_atom_site_label
_atom_site_fract_x
_atom_site_fract_y
_atom_site_fract_z
P1 0.0000 0.0000 0.2503
Os1 0.0000 0.0000 0.5000
Ru1 0.0000 0.0000 0.0000
```

Output
E_tot   -95.31 eV per cell
Relative energy among the computed polymorphs   91 kJ/mol of formula units

---

# 12
A plane-wave DFT calculation with PBE was carried out for crystalline PrYEr5Tm2 at its relaxed geometry.

```
data_PrYEr5Tm2
_chemical_formula_sum 'Pr4 Y4 Er20 Tm8'
_space_group_name_H-M_alt 'C m c 21'
_space_group_IT_number 36
_space_group_name_Hall 'C 2c -2'
_cell_length_a 5.567
_cell_length_b 19.647
_cell_length_c 10.543
_cell_angle_alpha 90.00
_cell_angle_beta 90.00
_cell_angle_gamma 90.00
loop_
_atom_site_label
_atom_site_fract_x
_atom_site_fract_y
_atom_site_fract_z
Pr1 0.000 0.083 0.000
Y1 0.000 0.300 0.562
Er1 0.000 0.022 0.285
Er2 0.000 0.112 0.572
Er3 0.000 0.201 0.261
Er4 0.000 0.218 0.860
Er5 0.000 0.482 0.575
Tm1 0.000 0.387 0.869
Tm2 0.000 0.389 0.284
```

Output
E_tot   -165.97 eV per cell

---

> Which value of E_tot does entry 10 give?

-111.66 eV per cell

---

> E_tot of number 8 (KNaAsBr2)?

-13.19 eV per cell